# ReTcAs2, optimized geometry, DFT PBE
# * DFT formation energy: 0.006 eV per atom
# * N(E_F): 0.71 states/eV per atom
# * DFT total energy: -8.022 eV per atom
data_ReTcAs2
_chemical_formula_sum 'Re1 Tc1 As2'
_cell_length_a 2.9264
_cell_length_b 2.9264
_cell_length_c 8.0187
_cell_angle_alpha 90.00
_cell_angle_beta 90.00
_cell_angle_gamma 90.00
_space_group_name_H-M_alt 'P 4 m m'
_space_group_IT_number 99
_space_group_name_Hall 'P 4 -2'
loop_
_atom_site_label
_atom_site_fract_x
_atom_site_fract_y
_atom_site_fract_z
Re1 0.0000 0.0000 0.0000
Tc1 0.5000 0.5000 0.2161
As1 0.0000 0.0000 0.4235
As2 0.5000 0.5000 0.7876


# ReTc2As, optimized geometry, DFT PBE
# * DFT formation energy: 0.072 eV per atom
# * N(E_F): 0.85 states/eV per atom
# * DFT total energy: -9.386 eV per atom
data_ReTc2As
_chemical_formula_sum 'Re3 Tc6 As3'
_cell_length_a 2.8400
_cell_length_b 2.8400
_cell_length_c 25.5052
_cell_angle_alpha 90.00
_cell_angle_beta 90.00
_cell_angle_gamma 120.00
_space_group_name_H-M_alt 'R -3 m'
_space_group_IT_number 166
_space_group_name_Hall '-R 3 2"'
loop_
_atom_site_label
_atom_site_fract_x
_atom_site_fract_y
_atom_site_fract_z
Re1 0.0000 0.0000 0.0000
Tc1 0.0000 0.0000 0.2483
As1 0.0000 0.0000 0.5000


# ReTcAs2, optimized geometry, DFT PBE
# * DFT formation energy: 0.610 eV per atom
# * N(E_F): 0.85 states/eV per atom
# * DFT total energy: -7.418 eV per atom
data_ReTcAs2
_chemical_formula_sum 'Re4 Tc4 As8'
_cell_length_a 6.3230
_cell_length_b 6.3230
_cell_length_c 6.3230
_cell_angle_alpha 90.00
_cell_angle_beta 90.00
_cell_angle_gamma 90.00
_space_group_name_H-M_alt 'F -4 3 m'
_space_group_IT_number 216
_space_group_name_Hall 'F -4 2 3'
loop_
_atom_site_label
_atom_site_fract_x
_atom_site_fract_y
_atom_site_fract_z
Re1 0.0000 0.0000 0.0000
Tc1 0.2500 0.2500 0.2500
As1 0.0000 0.0000 0.5000
As2 0.2500 0.2500 0.7500


V values (in Å³ per cell) by entry order: 69 178 253.
M_tot values (in μB/cell) by entry order: 0.0 0.0 0.0.